[1]
A plane-wave DFT calculation with GGA-PBE was carried out for a geometry-optimized RbLi3Cd4F12 structure.

## Properties
V = 284.9 Å³/cell
final energy = -81.662 eV for the cell shown

a b c (Å): 7.1798 7.1798 7.1798
angles (deg): 109.47 109.47 109.47
Last column: nearest neighbours and their distance in Å.
Sites, in units of the cell vectors:
1 Rb 0.0000 0.0000 0.0000  12 F 3.01
2 Li 0.0000 0.5000 0.5000  4 F 2.01
3 Li 0.5000 0.5000 0.0000  4 F 2.01
4 Li 0.5000 0.0000 0.5000  4 F 2.01
5 Cd 0.5000 0.0000 0.0000  6 F 2.27
6 Cd 0.5000 0.5000 0.5000  6 F 2.27
7 Cd 0.0000 0.5000 0.0000  6 F 2.27
8 Cd 0.0000 0.0000 0.5000  6 F 2.27
9 F 0.3226 0.8341 0.1567  1 Li 2.01
10 F 0.6774 0.1659 0.8433  1 Li 2.01
11 F 0.6774 0.8341 0.5114  1 Li 2.01
12 F 0.8433 0.6774 0.1659  1 Li 2.01
13 F 0.8341 0.1567 0.3226  1 Li 2.01
14 F 0.1659 0.4886 0.3226  1 Li 2.01
15 F 0.4886 0.3226 0.1659  1 Li 2.01
16 F 0.1659 0.8433 0.6774  1 Li 2.01
17 F 0.3226 0.1659 0.4886  1 Li 2.01
18 F 0.1567 0.3226 0.8341  1 Li 2.01
19 F 0.8341 0.5114 0.6774  1 Li 2.01
20 F 0.5114 0.6774 0.8341  1 Li 2.01

=====

[2]
A plane-wave DFT calculation with GGA-PBE was carried out for a geometry-optimized NaHg6Pb3 structure.

## Properties
V = 549.2 Å³/cell
final energy = -29.393 eV for the cell shown

a b c (Å): 5.6409 8.8120 12.2332
angles (deg): 115.43 90.00 90.00
Last column: nearest neighbours and their distance in Å.
Sites, in units of the cell vectors:
1 Na 0.7500 0.6773 0.6593  10 Hg 3.21-3.48, 2 Pb 3.50-3.52
2 Na 0.2500 0.3227 0.3407  10 Hg 3.21-3.48, 2 Pb 3.50-3.52
3 Hg 0.7500 0.4905 0.0679  5 Pb 3.24-3.40, 7 Hg 3.31-3.56
4 Hg 0.2500 0.5095 0.9321  5 Pb 3.24-3.40, 7 Hg 3.31-3.56
5 Hg 0.7500 0.1888 0.1778  5 Hg 3.16-3.46, 2 Pb 3.25-3.27, 2 Na 3.36
6 Hg 0.2500 0.8112 0.8222  5 Hg 3.16-3.46, 2 Pb 3.25-3.27, 2 Na 3.36
7 Hg 0.7500 0.9607 0.5561  6 Hg 3.22-3.48, 1 Na 3.25, 4 Pb 3.37-3.50
8 Hg 0.2500 0.0393 0.4439  6 Hg 3.22-3.48, 1 Na 3.25, 4 Pb 3.37-3.50
9 Hg 0.7500 0.2858 0.4745  3 Na 3.21-3.35, 7 Hg 3.26-3.48, 2 Pb 3.30-3.39
10 Hg 0.2500 0.7142 0.5255  3 Na 3.21-3.35, 7 Hg 3.26-3.48, 2 Pb 3.30-3.39
11 Hg 0.7500 0.5689 0.3691  6 Hg 3.16-3.45, 3 Na 3.26-3.48, 2 Pb 3.43
12 Hg 0.2500 0.4311 0.6309  6 Hg 3.16-3.45, 3 Na 3.26-3.48, 2 Pb 3.43
13 Hg 0.7500 0.7645 0.9467  5 Pb 3.26-3.51, 1 Na 3.26, 6 Hg 3.31-3.59
14 Hg 0.2500 0.2355 0.0533  5 Pb 3.26-3.51, 1 Na 3.26, 6 Hg 3.31-3.59
15 Pb 0.7500 0.8834 0.2596  8 Hg 3.24-3.56, 4 Pb 3.41-3.50
16 Pb 0.2500 0.1166 0.7404  8 Hg 3.24-3.56, 4 Pb 3.41-3.50
17 Pb 0.7500 0.3648 0.7638  8 Hg 3.26-3.43, 3 Pb 3.35-3.50, 1 Na 3.50
18 Pb 0.2500 0.6352 0.2362  8 Hg 3.26-3.43, 3 Pb 3.35-3.50, 1 Na 3.50
19 Pb 0.7500 0.0919 0.8880  7 Hg 3.25-3.61, 3 Pb 3.35-3.41, 1 Na 3.52
20 Pb 0.2500 0.9081 0.1120  7 Hg 3.25-3.61, 3 Pb 3.35-3.41, 1 Na 3.52

=====

[3]
A plane-wave DFT calculation with GGA-PBE was carried out for a geometry-optimized Ca2YSn3Pt4 structure.

## Properties
V = 236.7 Å³/cell
final energy = -55.041 eV for the cell shown

a b c (Å): 4.6010 4.6010 11.1820
angles (deg): 90.00 90.00 90.00
Last column: nearest neighbours and their distance in Å.
Sites, in units of the cell vectors:
1 Ca 0.5000 0.0000 0.2209  8 Pt 3.38-3.59, 4 Sn 3.43
2 Ca 0.0000 0.5000 0.7791  8 Pt 3.38-3.59, 4 Sn 3.43
3 Y 0.5000 0.5000 0.5000  4 Pt 2.81
4 Sn 0.0000 0.0000 0.5000  4 Pt 2.81
5 Sn 0.5000 0.0000 0.8768  5 Pt 2.60-2.68
6 Sn 0.0000 0.5000 0.1232  5 Pt 2.60-2.68
7 Pt 0.5000 0.5000 0.0000  4 Sn 2.68
8 Pt 0.0000 0.0000 0.0000  4 Sn 2.68
9 Pt 0.5000 0.0000 0.6440  3 Sn 2.60-2.81, 2 Y 2.81
10 Pt 0.0000 0.5000 0.3560  3 Sn 2.60-2.81, 2 Y 2.81

=====

[4]
A plane-wave DFT calculation with GGA-PBE was carried out for a geometry-optimized HgSICl2 structure.

## Properties
V = 140.2 Å³/cell
final energy = -8.079 eV for the cell shown

a b c (Å): 5.0647 5.0647 5.4641
angles (deg): 90.00 90.00 90.00
Last column: nearest neighbours and their distance in Å.
Sites, in units of the cell vectors:
1 I 0.5000 0.5000 0.5000  4 S 3.58, 8 Cl 3.73
2 S 0.0000 0.0000 0.5000  2 Hg 2.73
3 Hg 0.0000 0.0000 0.0000  4 Cl 2.53, 2 S 2.73
4 Cl 0.0000 0.5000 0.0000  2 Hg 2.53
5 Cl 0.5000 0.0000 0.0000  2 Hg 2.53

=====

[5]
A plane-wave DFT calculation with GGA-PBE was carried out for a geometry-optimized Dy2MgP3Rh4 structure.

## Properties
V = 166.2 Å³/cell
final energy = -66.717 eV for the cell shown

a b c (Å): 3.9353 3.9353 10.7304
angles (deg): 90.00 90.00 90.00
Last column: nearest neighbours and their distance in Å.
Sites, in units of the cell vectors:
1 Dy 0.5000 0.0000 0.2377  8 Rh 3.00-3.22, 4 P 3.01
2 Dy 0.0000 0.5000 0.7623  8 Rh 3.00-3.22, 4 P 3.01
3 Mg 0.5000 0.5000 0.5000  4 Rh 2.59, 4 P 2.78
4 P 0.0000 0.0000 0.5000  4 Rh 2.59, 4 Mg 2.78
5 P 0.5000 0.0000 0.8692  5 Rh 2.28-2.42
6 P 0.0000 0.5000 0.1308  5 Rh 2.28-2.42
7 Rh 0.5000 0.5000 0.0000  4 P 2.42
8 Rh 0.0000 0.0000 0.0000  4 P 2.42
9 Rh 0.5000 0.0000 0.6569  1 P 2.28
10 Rh 0.0000 0.5000 0.3431  1 P 2.28

=====

[6]
A plane-wave DFT calculation with GGA-PBE was carried out for a geometry-optimized KCrSi2 structure.

## Properties
V = 75.8 Å³/cell
final energy = -18.461 eV for the cell shown

a b c (Å): 6.4449 5.4546 2.8330
angles (deg): 90.00 63.92 118.46
Last column: nearest neighbours and their distance in Å.
Sites, in units of the cell vectors:
1 Cr 0.0000 0.5000 0.5000  2 Cr 2.83, 2 K 2.89, 8 Si 3.07
2 K 0.5000 0.5000 0.0000  2 K 2.83, 2 Cr 2.89, 8 Si 3.07
3 Si 0.0000 0.0000 0.0000  4 Si 2.83-2.89, 4 K 3.07, 4 Cr 3.07
4 Si 0.5000 0.0000 0.5000  4 Si 2.83-2.89, 4 Cr 3.07, 4 K 3.07

=====

[7]
A plane-wave DFT calculation with GGA-PBE was carried out for a geometry-optimized Tl5CdIn5 structure.

## Properties
V = 329.3 Å³/cell
final energy = -25.663 eV for the cell shown

a b c (Å): 6.4600 6.4600 10.0889
angles (deg): 87.02 87.02 51.58
Last column: nearest neighbours and their distance in Å.
Sites, in units of the cell vectors:
1 Tl 0.2858 0.2858 0.4126  3 In 3.25-3.35, 5 Tl 3.39-3.44
2 Tl 0.4302 0.4302 0.7010  2 In 3.17-3.24, 4 Tl 3.43-3.53
3 Tl 0.0000 0.0000 0.5000  2 In 3.24, 6 Tl 3.39-3.53
4 Tl 0.5698 0.5698 0.2990  2 In 3.17-3.24, 4 Tl 3.43-3.53
5 Tl 0.7142 0.7142 0.5874  3 In 3.25-3.35, 5 Tl 3.39-3.44
6 Cd 0.0000 0.0000 0.0000  6 In 2.81-3.00
7 In 0.2389 0.2389 0.0977  1 Cd 3.00, 1 In 3.14, 1 Tl 3.25
8 In 0.1529 0.1529 0.7585  1 Cd 2.93, 2 Tl 3.24
9 In 0.5000 0.5000 0.0000  2 Cd 2.81, 2 In 3.14
10 In 0.8471 0.8471 0.2415  1 Cd 2.93, 2 Tl 3.24
11 In 0.7611 0.7611 0.9023  1 Cd 3.00, 1 In 3.14, 1 Tl 3.25

=====

[8]
A plane-wave DFT calculation with GGA-PBE was carried out for a geometry-optimized HfAsPt2F structure.

## Properties
V = 108.0 Å³/cell
final energy = -27.925 eV for the cell shown

a b c (Å): 4.6058 5.0893 4.6058
angles (deg): 90.00 90.00 90.00
Last column: nearest neighbours and their distance in Å.
Sites, in units of the cell vectors:
1 As 0.0000 0.0000 0.0000  4 Pt 2.30, 2 Hf 2.54
2 Hf 0.0000 0.5000 0.0000  2 As 2.54
3 Pt 0.0000 0.0000 0.5000  2 As 2.30
4 Pt 0.5000 0.0000 0.0000  2 As 2.30
5 F 0.5000 0.5000 0.5000  4 Hf 3.26, 8 Pt 3.43

=====

[9]
A plane-wave DFT calculation with GGA-PBE was carried out for a geometry-optimized B5C7 structure.

## Properties
V = 79.2 Å³/cell
final energy = -93.416 eV for the cell shown

a b c (Å): 2.6230 4.6028 6.5575
angles (deg): 89.08 90.00 90.00
Last column: nearest neighbours and their distance in Å.
Sites, in units of the cell vectors:
1 B 0.5000 0.8760 0.3503  3 C 1.57-1.60
2 B 0.5000 0.4813 0.2203  1 C 1.53
3 B 0.5000 0.1794 0.9299  3 C 1.63-1.64
4 B 0.0000 0.3398 0.6177  3 C 1.55-1.62
5 B 0.0000 0.2853 0.3426  1 C 1.63, 2 B 1.78
6 C 0.5000 0.5215 0.9875  2 B 1.53-1.63, 2 C 1.58
7 C 0.0000 0.6810 0.6737  3 C 1.56-1.58, 1 B 1.62
8 C 0.0000 0.9694 0.2344  1 C 1.53, 3 B 1.57-1.63
9 C 0.0000 0.9901 0.0016  2 C 1.53-1.55, 2 B 1.64
10 C 0.0000 0.6802 0.9112  4 C 1.55-1.58
11 C 0.5000 0.1614 0.6370  1 C 1.54, 2 B 1.55
12 C 0.5000 0.8346 0.5937  3 C 1.54-1.58, 1 B 1.60

=====

[10]
A plane-wave DFT calculation with GGA-PBE was carried out for a geometry-optimized KCdSeBr structure.

## Properties
V = 134.6 Å³/cell
final energy = -11.420 eV for the cell shown

a b c (Å): 4.3813 4.3813 8.4810
angles (deg): 75.03 75.03 59.99
Last column: nearest neighbours and their distance in Å.
Sites, in units of the cell vectors:
1 K 0.7131 0.9760 0.5491  3 Br 3.17, 1 Cd 3.50
2 Cd 0.5691 0.8317 0.9817  1 Br 2.69, 3 Se 2.72
3 Se 0.9435 0.2061 0.8583  3 Cd 2.72
4 Br 0.4583 0.7211 0.3139  1 Cd 2.69

=====

[11]
A plane-wave DFT calculation with GGA-PBE was carried out for a geometry-optimized CaNiTeN2 structure.

## Properties
V = 87.1 Å³/cell
final energy = -24.079 eV for the cell shown

a b c (Å): 4.0600 4.0600 5.2833
angles (deg): 90.00 90.00 90.00
Last column: nearest neighbours and their distance in Å.
Sites, in units of the cell vectors:
1 Ni 0.0000 0.0000 0.0000  4 N 2.03
2 Ca 0.5000 0.5000 0.5000  4 Te 2.87
3 Te 0.0000 0.0000 0.5000  2 Ni 2.64, 4 Ca 2.87
4 N 0.0000 0.5000 0.0000  2 Ni 2.03
5 N 0.5000 0.0000 0.0000  2 Ni 2.03

=====

[12]
A plane-wave DFT calculation with GGA-PBE was carried out for a geometry-optimized TaIn2Mo structure.

## Properties
V = 76.4 Å³/cell
final energy = -26.691 eV for the cell shown

a b c (Å): 2.9237 2.9237 9.2813
angles (deg): 90.00 90.00 105.53
Last column: nearest neighbours and their distance in Å.
Sites, in units of the cell vectors:
1 In 0.0000 0.0000 0.0055  2 Mo 2.88, 4 In 2.92, 2 Ta 2.96
2 In 0.0000 0.0000 0.4945  2 Mo 2.88, 4 In 2.92, 2 Ta 2.96
3 Mo 0.5000 0.5000 0.2500  4 In 2.88, 4 Mo 2.92
4 Ta 0.5000 0.5000 0.7500  4 Ta 2.92, 4 In 2.96

=====

Please write out number 3 again, unchanged.
A plane-wave DFT calculation with GGA-PBE was carried out for a geometry-optimized Ca2YSn3Pt4 structure.

## Properties
V = 236.7 Å³/cell
final energy = -55.041 eV for the cell shown

a b c (Å): 4.6010 4.6010 11.1820
angles (deg): 90.00 90.00 90.00
Last column: nearest neighbours and their distance in Å.
Sites, in units of the cell vectors:
1 Ca 0.5000 0.0000 0.2209  8 Pt 3.38-3.59, 4 Sn 3.43
2 Ca 0.0000 0.5000 0.7791  8 Pt 3.38-3.59, 4 Sn 3.43
3 Y 0.5000 0.5000 0.5000  4 Pt 2.81
4 Sn 0.0000 0.0000 0.5000  4 Pt 2.81
5 Sn 0.5000 0.0000 0.8768  5 Pt 2.60-2.68
6 Sn 0.0000 0.5000 0.1232  5 Pt 2.60-2.68
7 Pt 0.5000 0.5000 0.0000  4 Sn 2.68
8 Pt 0.0000 0.0000 0.0000  4 Sn 2.68
9 Pt 0.5000 0.0000 0.6440  3 Sn 2.60-2.81, 2 Y 2.81
10 Pt 0.0000 0.5000 0.3560  3 Sn 2.60-2.81, 2 Y 2.81